# 1
VASP calculation (PBE-GGA) on Li2ReF2 after structural relaxation.

Summary:
- DOS at the Fermi energy: 0.418 states/eV/atom
- Crystal system: tetragonal
- Formation energy from raw total energies: -419 kJ/mol of formula units

The structure in CIF format:
```
data_Li2ReF2
_chemical_formula_sum 'Li4 Re2 F4'
_symmetry_space_group_name_H-M 'P 4/m b m'
_symmetry_Int_Tables_number 127
_symmetry_space_group_name_Hall '-P 4 2ab'
_cell_length_a 6.499
_cell_length_b 6.499
_cell_length_c 2.573
_cell_angle_alpha 90.00
_cell_angle_beta 90.00
_cell_angle_gamma 90.00
loop_
_atom_site_label
_atom_site_fract_x
_atom_site_fract_y
_atom_site_fract_z
Li1 0.130 0.370 0.000
Re1 0.000 0.000 0.500
F1 0.139 0.639 0.500
```

---

# 2
VASP calculation (PBE-GGA) on La8OsPdPt2 after structural relaxation.

Summary:
- DOS at the Fermi energy: 1.111 states/eV/atom
- Crystal system: monoclinic
- DFT formation energy: -547 meV/atom

The structure in CIF format:
```
data_La8OsPdPt2
_chemical_formula_sum 'La8 Os1 Pd1 Pt2'
_symmetry_space_group_name_H-M 'P 1 2/m 1'
_symmetry_Int_Tables_number 10
_symmetry_space_group_name_Hall '-P 2y'
_cell_length_a 6.858
_cell_length_b 8.613
_cell_length_c 6.944
_cell_angle_alpha 90.00
_cell_angle_beta 91.18
_cell_angle_gamma 90.00
loop_
_atom_site_label
_atom_site_fract_x
_atom_site_fract_y
_atom_site_fract_z
La1 0.141 0.000 0.247
La2 0.155 0.500 0.248
La3 0.347 0.261 0.733
Os1 0.500 0.500 0.500
Pd1 0.500 0.000 0.500
Pt1 0.000 0.249 0.000
```

---

# 3
VASP calculation (PBE-GGA) on Tb2Ho6Sc3In after structural relaxation.

Summary:
- DOS at the Fermi energy: 1.240 states/eV/atom
- Crystal system: monoclinic
- DFT formation energy: -32 meV/atom

The structure in CIF format:
```
data_Tb2Ho6Sc3In
_chemical_formula_sum 'Tb4 Ho12 Sc6 In2'
_symmetry_space_group_name_H-M 'C 1 2/m 1'
_symmetry_Int_Tables_number 12
_symmetry_space_group_name_Hall '-C 2y'
_cell_length_a 5.956
_cell_length_b 10.313
_cell_length_c 11.328
_cell_angle_alpha 90.00
_cell_angle_beta 100.07
_cell_angle_gamma 90.00
loop_
_atom_site_label
_atom_site_fract_x
_atom_site_fract_y
_atom_site_fract_z
Tb1 0.000 0.166 0.000
Ho1 0.244 0.500 0.742
Ho2 0.249 0.165 0.743
Sc1 0.000 0.000 0.500
Sc2 0.000 0.334 0.500
In1 0.000 0.500 0.000
```

---

# 4
VASP calculation (PBE-GGA) on Ba3CaSb2O9 after structural relaxation.

Summary:
- DOS at the Fermi energy: 0.000 states/eV/atom
- Crystal system: monoclinic
- Formation energy from raw total energies: -3392 kJ/mol of formula units

The structure in CIF format:
```
data_Ba3CaSb2O9
_chemical_formula_sum 'Ba12 Ca4 Sb8 O36'
_symmetry_space_group_name_H-M 'C 1 2/c 1'
_symmetry_Int_Tables_number 15
_symmetry_space_group_name_Hall '-C 2yc'
_cell_length_a 6.106
_cell_length_b 10.527
_cell_length_c 15.078
_cell_angle_alpha 90.00
_cell_angle_beta 92.30
_cell_angle_gamma 90.00
loop_
_atom_site_label
_atom_site_fract_x
_atom_site_fract_y
_atom_site_fract_z
Ba1 0.000 0.008 0.250
Ba2 0.009 0.333 0.591
Ca1 0.000 0.000 0.000
Sb1 0.022 0.334 0.154
O1 0.000 0.480 0.250
O2 0.049 0.172 0.091
O3 0.191 0.411 0.430
O4 0.216 0.262 0.265
O5 0.219 0.089 0.895
```